[1]
An optimized crystal structure of Rb2HgAs2, computed with PBE-GGA.

Cell lengths 6.700, 6.700, 9.228 Å; angles 90.00, 90.00, 90.00 degrees
Space group I4/mmm (No. 139)
Inequivalent atoms, fractional coordinates:
1 Rb 0.000 0.500 0.250
2 Hg 0.000 0.000 0.000
3 As 0.000 0.000 0.375

Computed properties:
**Relative energy among the computed polymorphs**: 0.42 eV per formula unit

=====

[2]
An optimized crystal structure of Sn2BRu4, computed with PBE-GGA.

Cell lengths 4.109, 4.109, 13.308 Å; angles 90.00, 90.00, 90.00 degrees
Space group I4/mmm (No. 139)
Inequivalent atoms, fractional coordinates:
1 Sn 0.000 0.000 0.142
2 B 0.000 0.000 0.500
3 Ru 0.000 0.000 0.342
4 Ru 0.000 0.500 0.000

Computed properties:
**Total DFT energy (no corrections)**: -103.09 eV per cell

=====

[3]
An optimized crystal structure of Dy2AlCu, computed with PBE-GGA.

Cell lengths 3.470, 3.470, 7.381 Å; angles 90.00, 90.00, 90.00 degrees
Space group P4/mmm (No. 123)
Inequivalent atoms, fractional coordinates:
1 Dy 0.000 0.000 0.236
2 Al 0.500 0.500 0.500
3 Cu 0.500 0.500 0.000

Computed properties:
**Total DFT energy (no corrections)**: -18.33 eV per cell

=====

[4]
An optimized crystal structure of PrAlGe2Pd, computed with PBE-GGA.

Cell lengths 4.154, 4.154, 11.320 Å; angles 90.00, 90.00, 90.00 degrees
Space group I-4m2 (No. 119)
Inequivalent atoms, fractional coordinates:
1 Pr 0.000 0.000 0.000
2 Al 0.000 0.500 0.250
3 Ge 0.000 0.000 0.387
4 Pd 0.000 0.500 0.750

Computed properties:
**Total DFT energy (no corrections)**: -52.65 eV per cell

=====

[5]
An optimized crystal structure of LiLaBeIn, computed with PBE-GGA.

Cell lengths 6.866, 6.866, 6.866 Å; angles 90.00, 90.00, 90.00 degrees
Space group F-43m (No. 216)
Inequivalent atoms, fractional coordinates:
1 Li 0.000 0.000 0.000
2 La 0.250 0.250 0.250
3 Be 0.000 0.000 0.500
4 In 0.250 0.250 0.750

Computed properties:
**Total DFT energy (no corrections)**: -55.60 eV per cell

=====

[6]
An optimized crystal structure of SrTl2Cu, computed with PBE-GGA.

Cell lengths 5.266, 5.266, 18.704 Å; angles 90.00, 90.00, 90.00 degrees
Space group I-42d (No. 122)
Inequivalent atoms, fractional coordinates:
1 Sr 0.000 0.000 0.000
2 Tl 0.124 0.250 0.625
3 Cu 0.000 0.000 0.500

Computed properties:
**Total DFT energy (no corrections)**: -40.61 eV per cell

=====

[7]
An optimized crystal structure of CdBrO2, computed with PBE-GGA.

Cell lengths 3.7766, 3.7766, 5.7545 Å; angles 90.00, 90.00, 120.00 degrees
Space group P3m1 (No. 156)
Inequivalent atoms, fractional coordinates:
1 Cd 0.0000 0.0000 0.0000
2 Br 0.6667 0.3333 0.5061
3 O 0.0000 0.0000 0.4463
4 O 0.3333 0.6667 0.9589

Computed properties:
**Relative energy among the computed polymorphs**: 1.99 eV per formula unit
**Formation energy from raw total energies**: 0.056 eV/atom

=====

[8]
An optimized crystal structure of SiCSe3, computed with PBE-GGA.

Cell lengths 4.796, 4.796, 4.796 Å; angles 90.00, 90.00, 90.00 degrees
Space group Pm-3m (No. 221)
Inequivalent atoms, fractional coordinates:
1 Si 0.000 0.000 0.000
2 C 0.500 0.500 0.500
3 Se 0.000 0.000 0.500

Computed properties:
**Relative energy among the computed polymorphs**: 2.73 eV per formula unit
**Formation energy from raw total energies**: 1.690 eV/atom

=====

[9]
An optimized crystal structure of VCoRh3, computed with PBE-GGA.

Cell lengths 4.423, 4.423, 4.423 Å; angles 90.00, 90.00, 90.00 degrees
Space group Pm-3m (No. 221)
Inequivalent atoms, fractional coordinates:
1 V 0.000 0.000 0.000
2 Co 0.500 0.500 0.500
3 Rh 0.000 0.500 0.500

Computed properties:
**Relative energy among the computed polymorphs**: 6.27 eV per formula unit

=====

[10]
An optimized crystal structure of Ba6HgPdRh, computed with PBE-GGA.

Cell lengths 8.0357, 8.0357, 7.7323 Å; angles 90.00, 90.00, 120.00 degrees
Space group P312 (No. 149)
Inequivalent atoms, fractional coordinates:
1 Ba 0.0091 0.3554 0.2722
2 Hg 0.0000 0.0000 0.0000
3 Pd 0.6667 0.3333 0.5000
4 Rh 0.3333 0.6667 0.5000

Computed properties:
**Total DFT energy (no corrections)**: -27.29 eV per cell

=====

[11]
An optimized crystal structure of RbBaSr2H, computed with PBE-GGA.

Cell lengths 6.091, 6.091, 6.167 Å; angles 90.00, 90.00, 90.00 degrees
Space group P4/mmm (No. 123)
Inequivalent atoms, fractional coordinates:
1 Rb 0.000 0.000 0.000
2 Ba 0.500 0.500 0.000
3 Sr 0.000 0.500 0.500
4 H 0.500 0.500 0.500

Computed properties:
**Relative energy among the computed polymorphs**: 0.00 eV per formula unit

=====

[12]
An optimized crystal structure of DySn2HgSe4, computed with PBE-GGA.

Cell lengths 7.357, 4.187, 7.522 Å; angles 90.00, 109.60, 90.00 degrees
Space group P2/m (No. 10)
Inequivalent atoms, fractional coordinates:
1 Dy 0.000 0.000 0.000
2 Sn 0.500 0.000 0.500
3 Sn 0.500 0.500 0.000
4 Hg 0.000 0.500 0.500
5 Se 0.243 0.500 0.229
6 Se 0.247 0.000 0.765

Computed properties:
**Formation energy from raw total energies**: -0.711 eV/atom